[1]
Here is a relaxed Al2TcPb crystal from the Alexandria database. Energies are from PBE. Values from VASP.

Computed properties:
Its formation enthalpy at 0 K is 0.4887 eV per atom. As for the symmetry: I-42d. As for the total energy: -4.901 eV per atom.

Geometry as Quantum ESPRESSO input:
```
&SYSTEM
  ibrav = 0, nat = 8, ntyp = 3
/
ATOMIC_SPECIES
Al 26.98 Al.upf
Tc 98.00 Tc.upf
Pb 207.20 Pb.upf
ATOMIC_POSITIONS angstrom
Al 3.165 0.801 -2.286
Al 0.801 1.055 2.286
Al -1.055 1.309 6.858
Al 1.309 1.055 11.430
Tc 0.000 0.000 0.000
Tc 0.000 2.110 4.572
Pb 2.110 0.000 4.572
Pb 0.000 0.000 9.144
CELL_PARAMETERS angstrom
-2.110 2.110 9.144
2.110 -2.110 9.144
2.110 2.110 -9.144
```



[2]
Here is a relaxed AlTc2Pb crystal from the Alexandria database. Energies are from PBE. Values from VASP.

Computed properties:
Its formation enthalpy at 0 K is 0.3651 eV per atom. As for the symmetry: P2/m. Its energy relative to the lowest polymorph listed for this composition is 0.307 eV/atom. As for the total energy: -6.681 eV per atom.

Geometry as Quantum ESPRESSO input:
```
&SYSTEM
  ibrav = 0, nat = 4, ntyp = 3
/
ATOMIC_SPECIES
Al 26.98 Al.upf
Tc 98.00 Tc.upf
Pb 207.20 Pb.upf
ATOMIC_POSITIONS angstrom
Al 0.000 0.000 0.000
Tc 0.957 2.009 1.167
Tc 1.360 2.009 4.552
Pb -0.353 0.000 2.859
CELL_PARAMETERS angstrom
3.023 0.000 0.000
0.000 4.018 0.000
-0.706 0.000 5.719
```